A geometry-optimized BeZnGe2P4 structure, computed with PBE-GGA.

Unit cell a=6.5346 b=6.5346 c=6.5346 alpha=131.74 beta=131.74 gamma=70.64
Positions (direct):
1 Be 0.5000 0.5000 0.0000
2 Ge 0.0000 0.0000 0.0000
3 Ge 0.2500 0.7500 0.5000
4 P 0.1454 0.6182 0.0021
5 P 0.8568 0.8546 0.4729
6 P 0.3818 0.3839 0.5271
7 P 0.6161 0.1432 0.9979
8 Zn 0.7500 0.2500 0.5000

SG = No. 82
Energy = -37.7 eV per cell



A geometry-optimized PaBeGe structure, computed with PBE-GGA.

Unit cell a=4.2848 b=4.2848 c=4.2848 alpha=60.00 beta=60.00 gamma=60.00
Positions (direct):
1 Be 0.0000 0.0000 0.0000
2 Ge 0.2500 0.2500 0.2500
3 Pa 0.7500 0.7500 0.7500

SG = No. 216
Polymorph energy (0 for the lowest one) = 431.6 meV per atom
Size of the total moment = 0.035 μB per atom



A geometry-optimized PaBeGe structure, computed with PBE-GGA.

Unit cell a=3.8592 b=3.8592 c=4.1550 alpha=90.00 beta=90.00 gamma=120.00
Positions (direct):
1 Be 0.0000 0.0000 0.8332
2 Ge 0.3333 0.6667 0.8334
3 Pa 0.6667 0.3333 0.3334

SG = No. 187
Polymorph energy (0 for the lowest one) = 0.0 meV per atom
Size of the total moment = 0.019 μB per atom



A geometry-optimized PaBeGe structure, computed with PBE-GGA.

Unit cell a=4.4645 b=4.4645 c=4.4645 alpha=60.00 beta=60.00 gamma=60.00
Positions (direct):
1 Be 0.2500 0.2500 0.2500
2 Ge 0.0000 0.0000 0.0000
3 Pa 0.7500 0.7500 0.7500

SG = No. 216
Polymorph energy (0 for the lowest one) = 800.7 meV per atom
Size of the total moment = 0.196 μB per atom



A geometry-optimized PaBeGe structure, computed with PBE-GGA.

Unit cell a=4.5949 b=4.5949 c=4.5949 alpha=60.00 beta=60.00 gamma=60.00
Positions (direct):
1 Be 0.7500 0.7500 0.7500
2 Ge 0.2500 0.2500 0.2500
3 Pa 0.5000 0.5000 0.5000

SG = No. 216
Polymorph energy (0 for the lowest one) = 992.0 meV per atom
Size of the total moment = 0.100 μB per atom



A geometry-optimized Be2GePd structure, computed with PBE-GGA.

Unit cell a=4.1309 b=4.1309 c=4.1309 alpha=60.00 beta=60.00 gamma=60.00
Positions (direct):
1 Be 0.0000 0.0000 0.0000
2 Be 0.7500 0.7500 0.7500
3 Ge 0.5000 0.5000 0.5000
4 Pd 0.2500 0.2500 0.2500

SG = No. 216
Energy = -16.8 eV per cell



A geometry-optimized BeGePd structure, computed with PBE-GGA.

Unit cell a=3.9273 b=3.9273 c=3.9273 alpha=60.00 beta=60.00 gamma=60.00
Positions (direct):
1 Be 0.0000 0.0000 0.0000
2 Ge 0.2500 0.2500 0.2500
3 Pd 0.7500 0.7500 0.7500

SG = No. 216
Energy = -14.1 eV per cell



A geometry-optimized BeZnGePd structure, computed with PBE-GGA.

Unit cell a=4.3108 b=4.3108 c=4.3108 alpha=60.00 beta=60.00 gamma=60.00
Positions (direct):
1 Be 0.7500 0.7500 0.7500
2 Ge 0.0000 0.0000 0.0000
3 Pd 0.5000 0.5000 0.5000
4 Zn 0.2500 0.2500 0.2500

SG = No. 216
Polymorph energy (0 for the lowest one) = 0.0 meV per atom